No. 1
The following is a GGA-PBE calculation of a relaxed structure of P3Se, from the Alexandria database.

The space group is P1 (No. 1) and the conventional cell measures 3.4728, 5.2199 and 5.7086 Å, with angles of 93.69, 103.62 and 102.23 degrees. Symmetry generates all atoms from P at (0.0000, 0.0000, 0.0000), P at (0.1264, 0.6722, 0.7546), P at (0.6255, 0.8966, 0.6151) and Se at (0.5196, 0.3575, 0.0285).

The calculation puts the uncorrected formation energy at 0.231 eV/atom. As for the energy above the most stable polymorph in this dataset: 0.412 eV/f.u. The value obtained for the volume is 97.6 Å³/f.u.

=====

No. 2
The following is a GGA-PBE calculation of a relaxed structure of P3Se, from the Alexandria database.

The space group is P4/mmm (No. 123) and the conventional cell measures 3.5565, 3.5565 and 5.4925 Å, with angles of 90.00, 90.00 and 90.00 degrees. Symmetry generates all atoms from P at (0.0000, 0.0000, 0.0000), P at (0.5000, 0.5000, 0.1974) and Se at (0.0000, 0.0000, 0.5000).

The calculation puts the uncorrected formation energy at 0.713 eV/atom. As for the energy above the most stable polymorph in this dataset: 2.339 eV/f.u. The value obtained for the volume is 69.5 Å³/f.u.

=====

No. 3
The following is a GGA-PBE calculation of a relaxed structure of P2Se, from the Alexandria database.

The space group is Cm (No. 8) and the conventional cell measures 11.2122, 3.3427 and 9.3735 Å, with angles of 90.00, 101.92 and 90.00 degrees. Symmetry generates all atoms from P at (0.0000, 0.0000, 0.0000), P at (0.0359, 0.5000, 0.1627), P at (0.1642, 0.0000, 0.8962), P at (0.2398, 0.5000, 0.2426), Se at (0.0937, 0.5000, 0.7289) and Se at (0.2419, 0.0000, 0.4140).

The calculation puts the uncorrected formation energy at 0.021 eV/atom. As for the energy above the most stable polymorph in this dataset: 0.030 eV/f.u. The value obtained for the volume is 85.9 Å³/f.u.

=====

> volume of number 2 (P3Se)?

69.5 Å³/f.u.

=====

Please write out number 3 again, unchanged.
The following is a GGA-PBE calculation of a relaxed structure of P2Se, from the Alexandria database.

The space group is Cm (No. 8) and the conventional cell measures 11.2122, 3.3427 and 9.3735 Å, with angles of 90.00, 101.92 and 90.00 degrees. Symmetry generates all atoms from P at (0.0000, 0.0000, 0.0000), P at (0.0359, 0.5000, 0.1627), P at (0.1642, 0.0000, 0.8962), P at (0.2398, 0.5000, 0.2426), Se at (0.0937, 0.5000, 0.7289) and Se at (0.2419, 0.0000, 0.4140).

The calculation puts the uncorrected formation energy at 0.021 eV/atom. As for the energy above the most stable polymorph in this dataset: 0.030 eV/f.u. The value obtained for the volume is 85.9 Å³/f.u.

=====

> What is the uncorrected formation energy in the first record?

0.231 eV/atom

=====

Repeat the third record exactly.
The following is a GGA-PBE calculation of a relaxed structure of P2Se, from the Alexandria database.

The space group is Cm (No. 8) and the conventional cell measures 11.2122, 3.3427 and 9.3735 Å, with angles of 90.00, 101.92 and 90.00 degrees. Symmetry generates all atoms from P at (0.0000, 0.0000, 0.0000), P at (0.0359, 0.5000, 0.1627), P at (0.1642, 0.0000, 0.8962), P at (0.2398, 0.5000, 0.2426), Se at (0.0937, 0.5000, 0.7289) and Se at (0.2419, 0.0000, 0.4140).

The calculation puts the uncorrected formation energy at 0.021 eV/atom. As for the energy above the most stable polymorph in this dataset: 0.030 eV/f.u. The value obtained for the volume is 85.9 Å³/f.u.